LiCdGa2: relaxed, PBE-GGA.

a b c (Å): 4.311 4.094 4.094
angles (deg): 90.00 90.00 90.00
Sites, in units of the cell vectors:
Ga 0.000 0.000 0.500
Li 0.500 0.500 0.500
Cd 0.500 0.000 0.000
Ga 0.000 0.500 0.000

Results
Uncorrected energy (eV/cell): -9.522
ρ (g cm⁻³): 5.95